The following is a DFT calculation (PBE with a Hubbard U) of a geometry-optimized K3Np2MnO9 structure.

Lattice parameters (Å, degrees): 5.966 5.966 7.325 90.00 90.00 120.00
Each line ends with the local moment (μB).
Atoms (fractional coordinates):
Np 0.333 0.667 0.173  0.81
Mn 0.000 0.000 0.500  4.54
K 0.667 0.333 0.343  0.00
K 0.000 0.000 0.000  0.00
O 0.000 0.500 0.000  -0.03
O 0.826 0.653 0.675  -0.04
O 0.826 0.174 0.675  -0.04
K 0.333 0.667 0.657  0.00
Np 0.667 0.333 0.827  0.81
O 0.500 0.500 0.000  -0.03
O 0.653 0.826 0.325  -0.04
O 0.347 0.174 0.675  -0.04
O 0.174 0.826 0.325  -0.04
O 0.500 0.000 0.000  -0.03
O 0.174 0.347 0.325  -0.04

## Properties
magnetic moment	6.000	μB/f.u.
space-group type	P-3m1, No. 164
E	-7.788	eV/atom
calculated density	5.81	Mg/m³
N(E_F)	6.870	states/eV per cell

---

The following is a DFT calculation (PBE with a Hubbard U) of a geometry-optimized KNpMn2O8 structure.

Lattice parameters (Å, degrees): 5.158 5.287 7.409 73.06 75.85 72.20
Each line ends with the local moment (μB).
Atoms (fractional coordinates):
O 0.211 0.728 0.225  -0.12
O 0.735 0.782 0.084  -0.05
O 0.441 0.291 0.519  -0.21
Mn 0.452 0.459 0.705  3.27
O 0.265 0.218 0.916  -0.05
O 0.224 0.760 0.820  -0.07
O 0.789 0.272 0.775  -0.12
O 0.559 0.709 0.481  -0.21
Np 0.000 0.000 0.000  0.31
K 0.000 0.000 0.500  0.00
O 0.776 0.240 0.180  -0.07
Mn 0.548 0.541 0.295  3.27

## Properties
magnetic moment	6.001	μB/f.u.
space-group type	P-1, No. 2
E	-7.408	eV/atom
calculated density	4.71	Mg/m³
N(E_F)	1.674	states/eV per cell

---

The following is a DFT calculation (PBE with a Hubbard U) of a geometry-optimized KNpMnO6 structure.

Lattice parameters (Å, degrees): 5.320 5.320 5.995 90.01 89.97 59.99
Each line ends with the local moment (μB).
Atoms (fractional coordinates):
Np 0.333 0.333 0.500  0.15
O 0.988 0.628 0.679  -0.05
O 0.627 0.385 0.679  -0.05
O 0.385 0.627 0.321  -0.05
K 0.000 0.000 0.000  0.00
O 0.988 0.384 0.321  -0.05
Mn 0.667 0.667 0.500  3.10
O 0.628 0.988 0.321  -0.05
O 0.384 0.988 0.679  -0.05

## Properties
magnetic moment	2.968	μB/f.u.
space-group type	P312, No. 149
E	-7.740	eV/atom
calculated density	4.83	Mg/m³

---

The following is a DFT calculation (PBE with a Hubbard U) of a geometry-optimized K2NpMn2O6 structure.

Lattice parameters (Å, degrees): 5.640 5.640 6.674 99.36 99.36 119.04
Each line ends with the local moment (μB).
Atoms (fractional coordinates):
O 0.943 0.624 0.322  0.00
O 0.753 0.753 0.675  -0.01
O 0.376 0.057 0.678  0.00
Mn 0.665 0.335 0.500  4.58
K 0.824 0.176 0.000  0.00
O 0.247 0.247 0.325  -0.01
O 0.057 0.376 0.678  0.00
K 0.176 0.824 0.000  0.00
Mn 0.335 0.665 0.500  4.58
Np 0.000 0.000 0.500  1.45
O 0.624 0.943 0.322  0.00

## Properties
magnetic moment	11.000	μB/f.u.
space-group type	C2/m, No. 12
E	-7.558	eV/atom
calculated density	4.92	Mg/m³

---

> What is the calculated density in the second record?

4.71 Mg/m³